# Mg2CoRh, optimized geometry, DFT PBE-GGA
# Space-group type: Imm2 (44)
# Fermi-level density of states (states/eV per atom): 0.961
# Calculated formation energy (eV/atom): -0.131
# M_tot (μB/cell): 1.5
data_Mg2CoRh
_cell_length_a 5.317
_cell_length_b 5.317
_cell_length_c 5.317
_cell_angle_alpha 147.11
_cell_angle_beta 131.08
_cell_angle_gamma 60.21
_space_group_name_H-M_alt 'P 1'
_space_group_IT_number 1
loop_
_space_group_symop_operation_xyz
'x,y,z'
loop_
_atom_site_label
_atom_site_fract_x
_atom_site_fract_y
_atom_site_fract_z
Mg1 0.000 0.000 0.000
Mg2 0.718 0.218 0.500
Co1 0.472 0.472 0.000
Rh1 0.252 0.752 0.500